## KDyWO5 (PBE with a Hubbard U)

Data for crystalline KDyWO5 at its relaxed geometry.

As for the raw total energy: -7.151 eV per atom. The calculated density is 5.25 g/cm3.

The space group is C2/c (No. 15) and the conventional cell measures 7.752, 10.212 and 8.152 Å, with angles of 90.00, 114.07 and 90.00 degrees. The asymmetric unit holds K at (0.000, 0.184, 0.250), Dy at (0.000, 0.500, 0.000), W at (0.000, 0.182, 0.750), O at (0.000, 0.433, 0.250), O at (0.091, 0.285, 0.621) and O at (0.184, 0.077, 0.903).